Compound: TeP2Se
Source: Alexandria
Functional: PBE
Structure: relaxed

It has space group Pm (No. 6), with a = 5.398 Å, b = 3.220 Å, c = 5.855 Å, α = 90.00°, β = 100.03° and γ = 90.00°. The distinct sites, in fractional coordinates, are Te at (0.000, 0.000, 0.000), P at (0.322, 0.500, 0.570), P at (0.402, 0.000, 0.840) and Se at (0.686, 0.500, 0.437).

The value obtained for the total energy is -4.225 eV/atom. The value obtained for the energy above the lowest structure with this stoichiometry is 0 meV per atom. The value obtained for the spin magnetization is 0.000 μB/atom.